The following is a PBE calculation of an optimized crystal structure of Rb8SbAs2, from the Alexandria database.

a = 5.8738 Å, b = 9.1380 Å, c = 17.8312 Å
α = 90.00°, β = 90.00°, γ = 90.00°
With the nearest neighbours (Å) after each atom.
Space group Immm (No. 71)
One atom of each set of equivalent atoms:
Rb (0.0000, 0.0000, 0.1557) (multiplicity 4)  8 Rb 3.86-3.88, 2 Sb 4.04, 2 As 4.11
Rb (0.0000, 0.2239, 0.3390) (multiplicity 8)  3 As 3.60-3.75, 1 Sb 3.82, 3 Rb 3.86-3.87
Rb (0.0000, 0.2962, 0.0000) (multiplicity 4)  7 Rb 3.72-4.11, 2 As 3.76, 2 Sb 3.99
Sb (0.0000, 0.5000, 0.5000) (multiplicity 2)  12 Rb 3.82-4.04
As (0.0000, 0.5000, 0.1833) (multiplicity 4)  8 Rb 3.60-3.76

Results
**Energy relative to the elements, uncorrected**: -0.264 eV per atom

The following is a PBE calculation of an optimized crystal structure of Er12TcPb6, from the Alexandria database.

a = 12.9785 Å, b = 12.9785 Å, c = 12.2636 Å
α = 90.00°, β = 90.00°, γ = 120.00°
With the nearest neighbours (Å) after each atom.
Space group R-3 (No. 148, hexagonal axes)
One atom of each set of equivalent atoms:
Er (0.0278, 0.1836, 0.3893) (multiplicity 18)  4 Pb 3.11-3.25
Er (0.0756, 0.1923, 0.8775) (multiplicity 18)  1 Tc 2.65
Tc (0.0000, 0.0000, 0.0000) (multiplicity 3)  6 Er 2.65
Pb (0.0409, 0.4167, 0.2980) (multiplicity 18)  7 Er 3.11-3.40

Results
**Formation enthalpy at 0 K**: -182 meV per atom

The following is a PBE calculation of an optimized crystal structure of SrAgAuO2, from the Alexandria database.

a = 7.5789 Å, b = 12.9217 Å, c = 4.0269 Å
α = 90.00°, β = 90.00°, γ = 90.00°
With the nearest neighbours (Å) after each atom.
Space group Cmme (No. 67)
One atom of each set of equivalent atoms:
Sr (0.0000, 0.2500, 0.2363) (multiplicity 4)  4 O 2.45-2.51
Ag (0.2500, 0.0000, 0.0000) (multiplicity 4)  4 Au 2.76, 4 O 2.80
Au (0.0000, 0.0000, 0.5000) (multiplicity 4)  2 O 2.03
O (0.0000, 0.1378, 0.7445) (multiplicity 8)  1 Au 2.03

Results
**Energy relative to the elements, uncorrected**: -0.997 eV per atom

The following is a PBE calculation of an optimized crystal structure of Ce7Ga2Si2, from the Alexandria database.

a = 7.7110 Å, b = 10.6459 Å, c = 7.0810 Å
α = 90.00°, β = 90.00°, γ = 90.00°
With the nearest neighbours (Å) after each atom.
Space group Cmmm (No. 65)
One atom of each set of equivalent atoms:
Ce (0.0000, 0.0000, 0.0000) (multiplicity 2)  2 Ga 3.16
Ce (0.0000, 0.5000, 0.2993) (multiplicity 4)  1 Ce 2.84, 2 Si 3.03, 2 Ga 3.03
Ce (0.2500, 0.2500, 0.3088) (multiplicity 8)  1 Ce 2.71, 2 Ga 2.96
Ga (0.0000, 0.2968, 0.0000) (multiplicity 4)  7 Ce 2.96-3.16
Si (0.1533, 0.0000, 0.5000) (multiplicity 4)  1 Si 2.36

Results
**Energy relative to the elements, uncorrected**: -0.184 eV per atom

The following is a PBE calculation of an optimized crystal structure of Na2HgCl4, from the Alexandria database.

a = 5.3942 Å, b = 5.3942 Å, c = 14.1114 Å
α = 90.00°, β = 90.00°, γ = 90.00°
With the nearest neighbours (Å) after each atom.
Space group I4/mmm (No. 139)
One atom of each set of equivalent atoms:
Na (0.0000, 0.0000, 0.1304) (multiplicity 4)  1 Cl 2.64
Hg (0.0000, 0.0000, 0.5000) (multiplicity 2)  6 Cl 2.57-2.70
Cl (0.0000, 0.0000, 0.3178) (multiplicity 4)  1 Hg 2.57, 1 Na 2.64
Cl (0.0000, 0.5000, 0.0000) (multiplicity 4)  2 Hg 2.70

Results
**Energy relative to the elements, uncorrected**: -1.137 eV per atom
**Polymorph energy (0 for the lowest one)**: 126 meV per atom

The following is a PBE calculation of an optimized crystal structure of CdBPd2, from the Alexandria database.

a = 6.1347 Å, b = 6.1347 Å, c = 6.1347 Å
α = 90.00°, β = 90.00°, γ = 90.00°
With the nearest neighbours (Å) after each atom.
Space group Fm-3m (No. 225)
One atom of each set of equivalent atoms:
Cd (0.0000, 0.0000, 0.0000) (multiplicity 4)  8 Pd 2.66
B (0.0000, 0.0000, 0.5000) (multiplicity 4)  8 Pd 2.66
Pd (0.2500, 0.2500, 0.2500) (multiplicity 8)  4 Cd 2.66, 4 B 2.66

Results
**Formation enthalpy at 0 K**: 408 meV per atom
**Polymorph energy (0 for the lowest one)**: 631 meV per atom

The following is a PBE calculation of an optimized crystal structure of Ba2ScNi, from the Alexandria database.

a = 3.7899 Å, b = 3.8055 Å, c = 9.4027 Å
α = 90.00°, β = 90.00°, γ = 90.00°
With the nearest neighbours (Å) after each atom.
Space group Pmmm (No. 47)
One atom of each set of equivalent atoms:
Ba (0.0000, 0.0000, 0.1954) (multiplicity 2)  4 Ni 3.25
Sc (0.5000, 0.5000, 0.5000) (multiplicity 1)  4 Sc 3.79-3.81, 8 Ba 3.93
Ni (0.5000, 0.5000, 0.0000) (multiplicity 1)  8 Ba 3.25

Results
**Formation enthalpy at 0 K**: 360 meV per atom
**Polymorph energy (0 for the lowest one)**: 272 meV per atom

The following is a PBE calculation of an optimized crystal structure of Ba2AlSbAs, from the Alexandria database.

a = 7.8329 Å, b = 4.6919 Å, c = 10.4071 Å
α = 90.00°, β = 107.24°, γ = 90.00°
With the nearest neighbours (Å) after each atom.
Space group P2_1/m (No. 11)
One atom of each set of equivalent atoms:
Ba (0.2112, 0.2500, 0.4004) (multiplicity 2)  2 As 3.26, 1 Al 3.64
Ba (0.2461, 0.2500, 0.9782) (multiplicity 2)  3 As 3.15-3.30
Al (0.4848, 0.7500, 0.2587) (multiplicity 2)  1 As 2.38
Sb (0.3253, 0.7500, 0.7014) (multiplicity 2)  2 Al 2.74
As (0.1665, 0.7500, 0.1758) (multiplicity 2)  1 Al 2.38

Results
**Energy relative to the elements, uncorrected**: -0.825 eV per atom

Which theoretical density belongs to each record? In order, 3.3 9.3 7.1 6.7 3.1 9.7 4.6 4.5 g/cm3.